(1)
An optimized crystal structure of MgNiCS. Source: Alexandria, functional PBE-GGA.

abc: 3.4012 3.5156 9.5474
angles: 90.00 90.00 90.00
With the nearest neighbours (Å) after each atom.
Atoms (fractional coordinates):
C: 0.5000 0.0000 0.3654  1 S 1.76, 2 Ni 1.85
C: 0.5000 0.5000 0.8654  1 S 1.76, 2 Ni 1.85
Ni: 0.5000 0.0000 0.9247  2 C 1.85
Ni: 0.5000 0.5000 0.4247  2 C 1.85
S: 0.5000 0.0000 0.1810  1 C 1.76
S: 0.5000 0.5000 0.6810  1 C 1.76
Mg: 0.0000 0.0000 0.5489  2 C 2.44, 4 Ni 2.72
Mg: 0.0000 0.5000 0.0489  2 C 2.44, 4 Ni 2.72

Summary:
Energy above the most stable polymorph in this dataset   44 meV per atom
Final energy   -5.018 eV/atom
ΔE_f (raw)   0.163 eV per atom
Space-group type   Amm2, No. 38

(2)
An optimized crystal structure of MgNiCS. Source: Alexandria, functional PBE-GGA.

abc: 3.4715 3.4715 5.0266
angles: 90.00 90.00 120.00
With the nearest neighbours (Å) after each atom.
Atoms (fractional coordinates):
C: 0.0000 0.0000 0.7762  1 S 1.81, 3 Ni 2.01
Ni: 0.6667 0.3333 0.7577  3 C 2.01
S: 0.0000 0.0000 0.4166  1 C 1.81
Mg: 0.3333 0.6667 0.0896  3 C 2.55, 3 S 2.59, 3 Ni 2.61

Summary:
Energy above the most stable polymorph in this dataset   0 meV per atom
Final energy   -5.062 eV/atom
ΔE_f (raw)   0.119 eV per atom
Space-group type   P3m1, No. 156

The following calculated density values (in g cm⁻³) correspond, in order, to the records above: 3.7 4.0.
The following DOS at the Fermi energy values (in states/eV/atom) correspond, in order, to the records above: 0.240 0.307.